No. 1
## Th2Al3Ni12Pt (GGA-PBE)

Data for a relaxed structure of Th2Al3Ni12Pt.

Output
The density of states at the Fermi level comes out at 10.3 states/eV/cell. For the energy of formation from the pure elements, the calculation gives -0.19 eV/atom. For the magnetic moment, the calculation gives 0.0 Bohr magnetons per cell.

a b c (Å): 6.4108 6.4108 6.4108
angles (deg): 83.53 83.53 83.53
Closest atoms and distances in Å follow each position.
Positions (direct):
Th  0.1620  0.1620  0.1620  9 Ni 2.55-2.80
Th  0.8380  0.8380  0.8380  9 Ni 2.55-2.80
Al  0.0000  0.5000  0.5000  6 Ni 2.52-2.58
Al  0.5000  0.0000  0.5000  6 Ni 2.52-2.58
Al  0.5000  0.5000  0.0000  6 Ni 2.52-2.58
Ni  0.1043  0.1043  0.6042  4 Ni 2.35-2.62, 2 Al 2.58
Ni  0.1043  0.6042  0.1043  4 Ni 2.35-2.62, 2 Al 2.58
Ni  0.2118  0.7015  0.7015  5 Ni 2.35-2.62, 1 Pt 2.46, 1 Al 2.52, 1 Th 2.55
Ni  0.2985  0.2985  0.7882  5 Ni 2.35-2.62, 1 Pt 2.46, 1 Al 2.52, 1 Th 2.55
Ni  0.2985  0.7882  0.2985  5 Ni 2.35-2.62, 1 Pt 2.46, 1 Al 2.52, 1 Th 2.55
Ni  0.3958  0.8957  0.8957  4 Ni 2.35-2.62, 2 Al 2.58
Ni  0.6042  0.1043  0.1043  4 Ni 2.35-2.62, 2 Al 2.58
Ni  0.7015  0.2118  0.7015  5 Ni 2.35-2.62, 1 Pt 2.46, 1 Al 2.52, 1 Th 2.55
Ni  0.7015  0.7015  0.2118  5 Ni 2.35-2.62, 1 Pt 2.46, 1 Al 2.52, 1 Th 2.55
Ni  0.7882  0.2985  0.2985  5 Ni 2.35-2.62, 1 Pt 2.46, 1 Al 2.52, 1 Th 2.55
Ni  0.8957  0.3958  0.8957  4 Ni 2.35-2.62, 2 Al 2.58
Ni  0.8957  0.8957  0.3958  4 Ni 2.35-2.62, 2 Al 2.58
Pt  0.5000  0.5000  0.5000  6 Ni 2.46

---

No. 2
## Th2Al4Ni3Pt (GGA-PBE)

Data for a relaxed structure of Th2Al4Ni3Pt.

Output
The density of states at the Fermi level comes out at 9.2 states/eV/cell. For the energy of formation from the pure elements, the calculation gives -0.72 eV/atom. For the magnetic moment, the calculation gives 0.0 Bohr magnetons per cell.

a b c (Å): 4.1763 4.1763 10.1565
angles (deg): 90.00 90.00 90.00
Closest atoms and distances in Å follow each position.
Positions (direct):
Th  0.0000  0.5000  0.2468  6 Ni 3.18-3.31, 8 Al 3.20-3.26, 2 Pt 3.31
Th  0.5000  0.0000  0.7532  6 Ni 3.18-3.31, 8 Al 3.20-3.26, 2 Pt 3.31
Al  0.0000  0.0000  0.0000  4 Ni 2.48
Al  0.0000  0.5000  0.6317  3 Ni 2.40-2.48, 2 Pt 2.48
Al  0.5000  0.0000  0.3683  3 Ni 2.40-2.48, 2 Pt 2.48
Al  0.5000  0.5000  0.0000  4 Ni 2.48
Ni  0.0000  0.5000  0.8682  5 Al 2.40-2.48
Ni  0.5000  0.0000  0.1318  5 Al 2.40-2.48
Ni  0.5000  0.5000  0.5000  4 Al 2.48
Pt  0.0000  0.0000  0.5000  4 Al 2.48